Record 1
Density functional theory data (PBE) for crystalline ScTl2GeSe4 at its relaxed geometry.

a = 7.054 Å, b = 3.921 Å, c = 7.914 Å
α = 90.00°, β = 106.65°, γ = 90.00°
Space group P2/m (No. 10)
One atom of each set of equivalent atoms:
Sc 0.000 0.000 0.000
Tl 0.000 0.500 0.500
Tl 0.500 0.000 0.500
Ge 0.500 0.500 0.000
Se 0.231 0.500 0.194
Se 0.264 0.000 0.804

Values from the calculation:
Magnetic moment, μB/cell: 0.00
Formation energy from raw total energies, eV/atom: -0.746
Density, g cm⁻³: 6.669

Record 2
Density functional theory data (PBE) for crystalline MgInCu2 at its relaxed geometry.

a = 3.170 Å, b = 3.353 Å, c = 6.174 Å
α = 90.00°, β = 90.75°, γ = 90.00°
Space group P2/m (No. 10)
One atom of each set of equivalent atoms:
Mg 0.000 0.000 0.000
In 0.000 0.000 0.500
Cu 0.496 0.500 0.768

Values from the calculation:
Magnetic moment, μB/cell: 0.00
Uncorrected energy, eV per atom: -3.161
Density, g cm⁻³: 6.737